# 1
DFT (PBE) results for a relaxed structure of TiBe2Ni.

The space group is I-42d (No. 122) and the conventional cell measures 3.4432, 3.4432 and 16.5000 Å, with angles of 90.00, 90.00 and 90.00 degrees. Symmetry generates all atoms from Ti at (0.0000, 0.0000, 0.0000), Be at (0.1939, 0.2500, 0.6250) and Ni at (0.0000, 0.0000, 0.5000).

Its crystal system is tetragonal. Its formation energy is 0.2825 eV/atom. Its density of states at the Fermi level is 12.847 states/eV/cell.



# 2
DFT (PBE) results for a relaxed structure of Ac3Sn3Ru2.

The space group is Cmcm (No. 63) and the conventional cell measures 4.5401, 11.8915 and 16.5245 Å, with angles of 90.00, 90.00 and 90.00 degrees. Symmetry generates all atoms from Ac at (0.0000, 0.0609, 0.1076), Ac at (0.0000, 0.3384, 0.2500), Sn at (0.0000, 0.3408, 0.0346), Sn at (0.0000, 0.3677, 0.7500) and Ru at (0.0000, 0.2236, 0.6141).

Its crystal system is orthorhombic. Its formation energy is -0.4847 eV/atom. Its density of states at the Fermi level is 23.510 states/eV/cell.



# 3
DFT (PBE) results for a relaxed structure of KSr2Cu.

The space group is Pm (No. 6) and the conventional cell measures 4.4796, 4.2829 and 9.9131 Å, with angles of 90.00, 102.97 and 90.00 degrees. Symmetry generates all atoms from K at (0.0000, 0.0000, 0.0000), Sr at (0.3203, 0.5000, 0.6455), Sr at (0.6775, 0.0000, 0.3594) and Cu at (0.1549, 0.5000, 0.3155).

Its crystal system is monoclinic. The calculation puts the offset from the most stable computed form at 25 kJ/mol of formula units. Its formation energy is 0.0937 eV/atom. Its density of states at the Fermi level is 2.592 states/eV/cell.



# 4
DFT (PBE) results for a relaxed structure of Ce2PmGe.

The space group is P4/mmm (No. 123) and the conventional cell measures 3.9821, 3.9821 and 7.0027 Å, with angles of 90.00, 90.00 and 90.00 degrees. Symmetry generates all atoms from Ce at (0.0000, 0.0000, 0.1923), Pm at (0.5000, 0.5000, 0.5000) and Ge at (0.5000, 0.5000, 0.0000).

Its crystal system is tetragonal. The calculation puts the offset from the most stable computed form at 53 kJ/mol of formula units. Its formation energy is -0.3290 eV/atom. Its density of states at the Fermi level is 9.995 states/eV/cell.



# 5
DFT (PBE) results for a relaxed structure of Hg3NO.

The space group is Pm-3m (No. 221) and the conventional cell measures 4.5841, 4.5841 and 4.5841 Å, with angles of 90.00, 90.00 and 90.00 degrees. Symmetry generates all atoms from Hg at (0.0000, 0.0000, 0.5000), N at (0.0000, 0.0000, 0.0000) and O at (0.5000, 0.5000, 0.5000).

The formation energy without anion corrections is 86.4 kJ per mole of atoms. Its crystal system is cubic. The calculation puts the offset from the most stable computed form at 0 kJ/mol of formula units. Its density of states at the Fermi level is 2.709 states/eV/cell.



# 6
DFT (PBE) results for a relaxed structure of AlGeW.

The space group is Cmcm (No. 63) and the conventional cell measures 4.6608, 8.4685 and 4.6826 Å, with angles of 90.00, 90.00 and 90.00 degrees. Symmetry generates all atoms from Al at (0.0000, 0.0796, 0.2500), Ge at (0.0000, 0.4083, 0.2500) and W at (0.0000, 0.2487, 0.7500).

Its crystal system is orthorhombic. The calculation puts the offset from the most stable computed form at 21 kJ/mol of formula units. Its formation energy is -0.0100 eV/atom. Its density of states at the Fermi level is 4.580 states/eV/cell.



# 7
DFT (PBE) results for a relaxed structure of PrYGe2.

The space group is Pmc2_1 (No. 26) and the conventional cell measures 4.0438, 5.9218 and 8.1788 Å, with angles of 90.00, 90.00 and 90.00 degrees. Symmetry generates all atoms from Pr at (0.0000, 0.1321, 0.0000), Y at (0.5000, 0.3689, 0.6372), Ge at (0.0000, 0.3925, 0.3585) and Ge at (0.5000, 0.1133, 0.2803).

Its crystal system is orthorhombic. Its formation energy is -0.8486 eV/atom. Its density of states at the Fermi level is 5.125 states/eV/cell.



# 8
DFT (PBE) results for a relaxed structure of BaSi2Te.

The space group is I4/mmm (No. 139) and the conventional cell measures 4.5838, 4.5838 and 10.5366 Å, with angles of 90.00, 90.00 and 90.00 degrees. Symmetry generates all atoms from Ba at (0.0000, 0.0000, 0.0000), Si at (0.0000, 0.5000, 0.2500) and Te at (0.0000, 0.0000, 0.5000).

The formation energy without anion corrections is 17.8 kJ per mole of atoms. Its crystal system is tetragonal. Its density of states at the Fermi level is 4.727 states/eV/cell.



# 9
DFT (PBE) results for a relaxed structure of YSc3Cu.

The space group is Pm-3m (No. 221) and the conventional cell measures 5.1977, 5.1977 and 5.1977 Å, with angles of 90.00, 90.00 and 90.00 degrees. Symmetry generates all atoms from Y at (0.0000, 0.0000, 0.0000), Sc at (0.0000, 0.0000, 0.5000) and Cu at (0.5000, 0.5000, 0.5000).

Its crystal system is cubic. The calculation puts the offset from the most stable computed form at 531 kJ/mol of formula units. Its formation energy is 1.2134 eV/atom. Its density of states at the Fermi level is 5.215 states/eV/cell.



# 10
DFT (PBE) results for a relaxed structure of Sm6Co2GeBr3.

The space group is C2/m (No. 12) and the conventional cell measures 19.1097, 4.0501 and 8.9636 Å, with angles of 90.00, 109.77 and 90.00 degrees. Symmetry generates all atoms from Sm at (0.0238, 0.0000, 0.2433), Sm at (0.1629, 0.5000, 0.1362), Sm at (0.1798, 0.5000, 0.5593), Co at (0.1713, 0.0000, 0.3473), Ge at (0.0000, 0.5000, 0.0000), Br at (0.0000, 0.5000, 0.5000) and Br at (0.1614, 0.0000, 0.8430).

The formation energy without anion corrections is -82.1 kJ per mole of atoms. Its crystal system is monoclinic. Its density of states at the Fermi level is 9.225 states/eV/cell.



# 11
DFT (PBE) results for a relaxed structure of MnReNi2.

The space group is P2/m (No. 10) and the conventional cell measures 4.4031, 2.6254 and 4.4800 Å, with angles of 90.00, 108.78 and 90.00 degrees. Symmetry generates all atoms from Mn at (0.0000, 0.0000, 0.0000), Re at (0.5000, 0.5000, 0.0000), Ni at (0.0000, 0.5000, 0.5000) and Ni at (0.5000, 0.0000, 0.5000).

Its crystal system is monoclinic. The calculation puts the offset from the most stable computed form at 31 kJ/mol of formula units. Its formation energy is 0.0842 eV/atom. Its density of states at the Fermi level is 4.795 states/eV/cell.



# 12
DFT (PBE) results for a relaxed structure of Tl2In3Hg2.

The space group is C2/m (No. 12) and the conventional cell measures 10.6655, 4.7023 and 7.8963 Å, with angles of 90.00, 100.97 and 90.00 degrees. Symmetry generates all atoms from Tl at (0.0652, 0.0000, 0.2120), In at (0.0000, 0.5000, 0.5000), In at (0.2172, 0.0000, 0.6445) and Hg at (0.1509, 0.5000, 0.9285).

Its crystal system is monoclinic. Its formation energy is 0.0241 eV/atom. Its density of states at the Fermi level is 5.665 states/eV/cell.